No. 1
The following is a DFT calculation (PBE) of Na2AcCuO4 after structural relaxation.

Cell: 3.4936 11.6760 11.3298 Å, 90.00 90.00 90.00°
Last column: nearest neighbours and their distance in Å.
Space group Cmcm (No. 63)
Symmetry-distinct sites (fractional):
Na (0.0000, 0.1330, 0.0453) [8 per cell]  4 O 2.24-2.42
Ac (0.0000, 0.4069, 0.2500) [4 per cell]  6 O 2.57-2.62
Cu (0.0000, 0.3291, 0.7500) [4 per cell]  4 O 1.90-2.08
O (0.0000, 0.0746, 0.2500) [4 per cell]  2 Cu 2.08
O (0.0000, 0.2100, 0.6361) [8 per cell]  1 Cu 1.90
O (0.0000, 0.5000, 0.0000) [4 per cell]  4 Na 2.39

D(E_F) = 21.70 states/eV per cell
Formation energy (no corrections) = -1.552 eV per atom
Uncorrected energy = -5.39 eV per atom
Total magnetic moment = 2.023 μB/f.u.

=====

No. 2
The following is a DFT calculation (PBE) of Sr3SnN after structural relaxation.

Cell: 3.7816 10.0025 9.1662 Å, 90.00 90.00 90.00°
Last column: nearest neighbours and their distance in Å.
Space group Amm2 (No. 38)
Symmetry-distinct sites (fractional):
Sr (0.0000, 0.0000, 0.0000) [2 per cell]  1 N 2.39
Sr (0.5000, 0.1583, 0.3343) [4 per cell]  2 N 2.56
Sn (0.5000, 0.0000, 0.6912) [2 per cell]  6 Sr 3.40-3.66, 2 Sn 3.78
N (0.0000, 0.0000, 0.2610) [2 per cell]  5 Sr 2.39-2.56

D(E_F) = 3.97 states/eV per cell
Formation energy (no corrections) = -0.368 eV per atom
Uncorrected energy = -3.84 eV per atom
Total magnetic moment = 0.000 μB/f.u.

=====

No. 3
The following is a DFT calculation (PBE) of Y2TaN after structural relaxation.

Cell: 7.1702 7.1702 6.8983 Å, 90.00 90.00 90.00°
Last column: nearest neighbours and their distance in Å.
Space group I-42d (No. 122)
Symmetry-distinct sites (fractional):
Y (0.1510, 0.2500, 0.1250) [8 per cell]  2 N 2.26
Ta (0.0000, 0.0000, 0.5000) [4 per cell]  8 Y 3.20-3.33, 2 N 3.45
N (0.0000, 0.0000, 0.0000) [4 per cell]  4 Y 2.26

D(E_F) = 14.89 states/eV per cell
Formation energy (no corrections) = 0.217 eV per atom
Uncorrected energy = -8.06 eV per atom
Total magnetic moment = 1.931 μB/f.u.

=====

No. 4
The following is a DFT calculation (PBE) of YHo2Zn3 after structural relaxation.

Cell: 3.5656 3.5656 10.6777 Å, 90.00 90.00 90.00°
Last column: nearest neighbours and their distance in Å.
Space group P4/mmm (No. 123)
Symmetry-distinct sites (fractional):
Y (0.0000, 0.0000, 0.0000) [1 per cell]  8 Zn 3.10
Ho (0.0000, 0.0000, 0.3343) [2 per cell]  8 Zn 3.08
Zn (0.5000, 0.5000, 0.1694) [2 per cell]  4 Ho 3.08, 4 Y 3.10
Zn (0.5000, 0.5000, 0.5000) [1 per cell]  8 Ho 3.08

D(E_F) = 6.73 states/eV per cell
Uncorrected energy = -3.59 eV per atom
Total magnetic moment = 0.001 μB/f.u.

=====

No. 5
The following is a DFT calculation (PBE) of Dy3TlCd after structural relaxation.

Cell: 12.9564 10.1405 9.0665 Å, 90.00 90.08 90.00°
Last column: nearest neighbours and their distance in Å.
Space group C2/c (No. 15)
Symmetry-distinct sites (fractional):
Dy (0.1274, 0.0001, 0.0003) [8 per cell]  2 Cd 3.12-3.13, 2 Tl 3.28, 3 Dy 3.30-3.44
Dy (0.1334, 0.3356, 0.4506) [8 per cell]  2 Cd 3.05-3.28, 1 Tl 3.21
Dy (0.1344, 0.3363, 0.0493) [8 per cell]  2 Cd 3.06-3.28, 1 Tl 3.21
Tl (0.0000, 0.1682, 0.7500) [4 per cell]  1 Tl 3.03, 4 Dy 3.28
Tl (0.0000, 0.4675, 0.7500) [4 per cell]  1 Tl 3.03, 4 Dy 3.21, 2 Cd 3.21
Cd (0.2371, 0.3771, 0.7496) [8 per cell]  6 Dy 3.05-3.28, 1 Tl 3.21

D(E_F) = 36.63 states/eV per cell
Uncorrected energy = -3.47 eV per atom
Total magnetic moment = 0.000 μB/f.u.
Energy above the lowest structure with this stoichiometry = 20.3 kJ per mole of atoms

=====

No. 6
The following is a DFT calculation (PBE) of Sc4AlTc after structural relaxation.

Cell: 7.8262 7.8262 7.8262 Å, 90.00 90.00 90.00°
Last column: nearest neighbours and their distance in Å.
Space group F-43m (No. 216)
Symmetry-distinct sites (fractional):
Sc (0.1231, 0.1231, 0.1231) [16 per cell]  6 Sc 2.73-2.81
Al (0.0000, 0.0000, 0.5000) [4 per cell]  12 Sc 3.25, 4 Tc 3.39
Tc (0.2500, 0.2500, 0.7500) [4 per cell]  12 Sc 3.24, 4 Al 3.39

D(E_F) = 35.21 states/eV per cell
Uncorrected energy = -6.17 eV per atom
Total magnetic moment = 0.005 μB/f.u.
Energy above the lowest structure with this stoichiometry = 61.1 kJ per mole of atoms

=====

No. 7
The following is a DFT calculation (PBE) of K3Np3MoS8 after structural relaxation.

Cell: 13.6213 7.8484 8.7886 Å, 90.00 120.78 90.00°
Last column: nearest neighbours and their distance in Å.
Space group C2/m (No. 12)
Symmetry-distinct sites (fractional):
K (0.0000, 0.0000, 0.0000) [2 per cell]  6 S 3.18-3.21
K (0.2500, 0.2500, 0.0000) [4 per cell]  6 S 3.18-3.22
Np (0.0000, 0.5000, 0.5000) [2 per cell]  6 S 2.74-2.76
Np (0.2500, 0.2500, 0.5000) [4 per cell]  6 S 2.73-2.76
Mo (0.0000, 0.0000, 0.5000) [2 per cell]  6 S 2.56-2.58
S (0.0141, 0.2351, 0.3096) [8 per cell]  1 Mo 2.56, 2 Np 2.74-2.76
S (0.2199, 0.0000, 0.6889) [4 per cell]  1 Mo 2.58, 2 Np 2.73
S (0.2359, 0.5000, 0.7053) [4 per cell]  3 Np 2.74-2.76

D(E_F) = 45.31 states/eV per cell
Formation energy (no corrections) = -1.197 eV per atom
Uncorrected energy = -6.93 eV per atom
Total magnetic moment = 1.239 μB/f.u.

=====

No. 8
The following is a DFT calculation (PBE) of DySc3Tl3Te8 after structural relaxation.

Cell: 14.6979 8.4619 9.4884 Å, 90.00 121.16 90.00°
Last column: nearest neighbours and their distance in Å.
Space group C2/m (No. 12)
Symmetry-distinct sites (fractional):
Dy (0.0000, 0.0000, 0.0000) [2 per cell]  6 Te 3.07-3.08
Sc (0.0000, 0.5000, 0.0000) [2 per cell]  6 Te 2.94-2.96
Sc (0.2500, 0.2500, 0.0000) [4 per cell]  6 Te 2.94-2.95
Tl (0.0000, 0.0000, 0.5000) [2 per cell]  6 Te 3.43
Tl (0.2500, 0.2500, 0.5000) [4 per cell]  6 Te 3.43
Te (0.0167, 0.2610, 0.7890) [8 per cell]  2 Sc 2.94-2.95, 1 Dy 3.07
Te (0.2347, 0.5000, 0.2040) [4 per cell]  3 Sc 2.95-2.96
Te (0.2443, 0.0000, 0.2110) [4 per cell]  2 Sc 2.94, 1 Dy 3.08

D(E_F) = 8.74 states/eV per cell
Formation energy (no corrections) = -0.962 eV per atom
Uncorrected energy = -4.68 eV per atom
Total magnetic moment = 0.000 μB/f.u.

=====

No. 9
The following is a DFT calculation (PBE) of MnAl4Fe3 after structural relaxation.

Cell: 2.8806 2.8806 11.6878 Å, 90.00 90.00 90.00°
Last column: nearest neighbours and their distance in Å.
Space group P4/mmm (No. 123)
Symmetry-distinct sites (fractional):
Mn (0.0000, 0.0000, 0.0000) [1 per cell]  8 Al 2.59, 4 Mn 2.88
Al (0.5000, 0.5000, 0.1370) [2 per cell]  4 Fe 2.46, 4 Mn 2.59
Al (0.5000, 0.5000, 0.3762) [2 per cell]  8 Fe 2.48-2.50
Fe (0.0000, 0.0000, 0.2547) [2 per cell]  8 Al 2.46-2.48
Fe (0.0000, 0.0000, 0.5000) [1 per cell]  8 Al 2.50

D(E_F) = 8.03 states/eV per cell
Uncorrected energy = -6.50 eV per atom
Total magnetic moment = 4.035 μB/f.u.

=====

No. 10
The following is a DFT calculation (PBE) of NdSCl after structural relaxation.

Cell: 4.2275 4.2275 6.5845 Å, 90.00 90.00 120.00°
Last column: nearest neighbours and their distance in Å.
Space group P3m1 (No. 156)
Symmetry-distinct sites (fractional):
Nd (0.0000, 0.0000, 0.0000) [1 per cell]  3 S 2.74, 3 Cl 2.94
S (0.3333, 0.6667, 0.8120) [1 per cell]  3 Nd 2.74
Cl (0.6667, 0.3333, 0.2491) [1 per cell]  3 Nd 2.94

D(E_F) = 0.00 states/eV per cell
Formation energy (no corrections) = -2.059 eV per atom
Uncorrected energy = -5.64 eV per atom
Total magnetic moment = 0.015 μB/f.u.

=====

No. 11
The following is a DFT calculation (PBE) of AlBTeN2 after structural relaxation.

Cell: 3.4591 3.4591 6.6070 Å, 90.00 90.00 90.00°
Last column: nearest neighbours and their distance in Å.
Space group P4/mmm (No. 123)
Symmetry-distinct sites (fractional):
Al (0.0000, 0.0000, 0.0000) [1 per cell]  4 Te 2.45
B (0.5000, 0.5000, 0.5000) [1 per cell]  4 N 1.73
Te (0.5000, 0.5000, 0.0000) [1 per cell]  4 Al 2.45
N (0.0000, 0.5000, 0.5000) [2 per cell]  2 B 1.73

D(E_F) = 1.34 states/eV per cell
Formation energy (no corrections) = 1.422 eV per atom
Uncorrected energy = -4.62 eV per atom
Total magnetic moment = 0.000 μB/f.u.
Energy above the lowest structure with this stoichiometry = 16.6 kJ per mole of atoms

=====

No. 12
The following is a DFT calculation (PBE) of FeSi2PtI after structural relaxation.

Cell: 5.2150 5.2150 4.5922 Å, 90.00 90.00 90.00°
Last column: nearest neighbours and their distance in Å.
Space group P4/mmm (No. 123)
Symmetry-distinct sites (fractional):
Fe (0.0000, 0.0000, 0.0000) [1 per cell]  2 I 2.30
Si (0.0000, 0.5000, 0.5000) [2 per cell]  2 I 2.61
Pt (0.5000, 0.5000, 0.0000) [1 per cell]  8 Si 3.47, 4 Fe 3.69
I (0.0000, 0.0000, 0.5000) [1 per cell]  2 Fe 2.30

D(E_F) = 8.10 states/eV per cell
Formation energy (no corrections) = 1.881 eV per atom
Uncorrected energy = -3.50 eV per atom
Total magnetic moment = 2.211 μB/f.u.

=====

No. 13
The following is a DFT calculation (PBE) of MnZnPt3 after structural relaxation.

Cell: 4.5969 4.5969 4.5969 Å, 90.00 90.00 90.00°
Last column: nearest neighbours and their distance in Å.
Space group Pm-3m (No. 221)
Symmetry-distinct sites (fractional):
Mn (0.0000, 0.0000, 0.0000) [1 per cell]  12 Pt 3.25
Zn (0.5000, 0.5000, 0.5000) [1 per cell]  6 Pt 2.30
Pt (0.0000, 0.5000, 0.5000) [3 per cell]  2 Zn 2.30

D(E_F) = 0.83 states/eV per cell
Uncorrected energy = -5.07 eV per atom
Total magnetic moment = 5.012 μB/f.u.
Energy above the lowest structure with this stoichiometry = 100.0 kJ per mole of atoms

=====

No. 14
The following is a DFT calculation (PBE) of Ac6AsP3S2 after structural relaxation.

Cell: 19.2880 4.4260 8.8400 Å, 90.00 103.36 90.00°
Last column: nearest neighbours and their distance in Å.
Space group C2/m (No. 12)
Symmetry-distinct sites (fractional):
Ac (0.0009, 0.0000, 0.2463) [4 per cell]  3 P 3.10-3.12, 2 As 3.15, 1 S 3.18
Ac (0.1647, 0.5000, 0.0868) [4 per cell]  3 P 3.08-3.09, 3 S 3.13-3.15
Ac (0.1681, 0.5000, 0.5788) [4 per cell]  3 P 3.09-3.11, 1 As 3.16, 2 S 3.17
As (0.0000, 0.5000, 0.5000) [2 per cell]  6 Ac 3.15-3.16
P (0.0000, 0.5000, 0.0000) [2 per cell]  6 Ac 3.09-3.10
P (0.1672, 0.0000, 0.3310) [4 per cell]  6 Ac 3.08-3.12
S (0.1685, 0.0000, 0.8358) [4 per cell]  6 Ac 3.13-3.18

D(E_F) = 6.88 states/eV per cell
Formation energy (no corrections) = -1.703 eV per atom
Uncorrected energy = -6.19 eV per atom
Total magnetic moment = 0.000 μB/f.u.

=====

No. 15
The following is a DFT calculation (PBE) of P2O after structural relaxation.

Cell: 3.3495 2.7286 10.4718 Å, 90.00 90.00 90.00°
Last column: nearest neighbours and their distance in Å.
Space group Amm2 (No. 38)
Symmetry-distinct sites (fractional):
P (0.0000, 0.0000, 0.0000) [2 per cell]  1 O 1.50
P (0.5000, 0.0000, 0.1385) [2 per cell]  2 P 2.22
O (0.0000, 0.0000, 0.8564) [2 per cell]  1 P 1.50

D(E_F) = 2.02 states/eV per cell
Formation energy (no corrections) = -0.376 eV per atom
Uncorrected energy = -5.64 eV per atom
Total magnetic moment = 0.000 μB/f.u.
Energy above the lowest structure with this stoichiometry = 26.1 kJ per mole of atoms

=====

No. 16
The following is a DFT calculation (PBE) of CsP3W after structural relaxation.

Cell: 5.0666 5.0666 5.0666 Å, 90.00 90.00 90.00°
Last column: nearest neighbours and their distance in Å.
Space group Pm-3m (No. 221)
Symmetry-distinct sites (fractional):
Cs (0.0000, 0.0000, 0.0000) [1 per cell]  6 P 2.53
P (0.0000, 0.0000, 0.5000) [3 per cell]  2 Cs 2.53
W (0.5000, 0.5000, 0.5000) [1 per cell]  12 P 3.58

D(E_F) = 10.38 states/eV per cell
Uncorrected energy = -2.82 eV per atom
Total magnetic moment = 0.000 μB/f.u.
Energy above the lowest structure with this stoichiometry = 292.6 kJ per mole of atoms